A plane-wave DFT calculation with PBE-GGA was carried out for an optimized crystal structure of LiGeF3.

The magnetization comes out at 0.00 μB per cell. The value obtained for the total energy is -4.578 eV per atom. The formation energy from raw total energies comes out at -2.15 eV/atom.

It has space group Pm-3m (No. 221), with a = 3.762 Å, b = 3.762 Å, c = 3.762 Å, α = 90.00°, β = 90.00° and γ = 90.00°. Symmetry generates all atoms from Li at (0.000, 0.000, 0.000), Ge at (0.500, 0.500, 0.500) and F at (0.000, 0.000, 0.500).